VASP calculation (GGA-PBE) on an optimized crystal structure of KTi3Co.

Cell: 4.4096 4.4096 4.4096 Å, 90.00 90.00 90.00°
Positions (direct):
1 Ti 0.0000 0.0000 0.5000
2 Ti 0.5000 0.0000 0.0000
3 Ti 0.0000 0.5000 0.0000
4 Co 0.5000 0.5000 0.5000
5 K 0.0000 0.0000 0.0000

DFT total energy in eV per atom: -4.204
Energy relative to the elements in kJ/mol of atoms: 210
Distance to the lowest polymorph of the same formula in eV/f.u.: 7.64
N(E_F) in states/eV per atom: 1.95